# LiThTlIr PBE optimized geometry
data_LiThTlIr
_cell_length_a 6.9259
_cell_length_b 6.9259
_cell_length_c 6.9259
_cell_angle_alpha 90.00
_cell_angle_beta 90.00
_cell_angle_gamma 90.00
_space_group_name_H-M_alt 'F -4 3 m'
_space_group_IT_number 216
_space_group_name_Hall 'F -4 2 3'
loop_
_atom_site_label
_atom_site_type_symbol
_atom_site_fract_x
_atom_site_fract_y
_atom_site_fract_z
Li1 Li 0.0000 0.0000 0.0000
Th1 Th 0.2500 0.2500 0.7500
Tl1 Tl 0.2500 0.2500 0.2500
Ir1 Ir 0.0000 0.0000 0.5000
# **Calculated formation energy**: -1.39 eV/f.u.
# **Total moment**: 0.0 μB per formula unit